MnH2O2: optimized geometry, PBE with a Hubbard U.

Cell lengths 3.374, 3.374, 4.783 Å; angles 90.08, 90.08, 60.00 degrees
Fractional positions:
1 Mn 0.000 0.000 0.000
2 H 0.332 0.332 0.570
3 H 0.667 0.667 0.430
4 O 0.333 0.333 0.774
5 O 0.667 0.667 0.226

Properties
Calculated total energy (eV for the cell shown): -30.6
DOS(E_F) (states/eV per atom): 0.00


MnH2O2: optimized geometry, PBE with a Hubbard U.

Cell lengths 3.610, 3.610, 4.674 Å; angles 90.00, 90.00, 120.00 degrees
Fractional positions:
1 Mn 0.000 0.000 0.000
2 H 0.333 0.667 0.436
3 H 0.667 0.333 0.049
4 O 0.333 0.667 0.227
5 O 0.667 0.333 0.837

Properties
Calculated total energy (eV for the cell shown): -29.5
DOS(E_F) (states/eV per atom): 0.00


MnH2O2: optimized geometry, PBE with a Hubbard U.

Cell lengths 6.754, 6.754, 6.754 Å; angles 21.79, 21.79, 21.79 degrees
Fractional positions:
1 Mn 0.000 0.000 0.000
2 H 0.244 0.244 0.244
3 H 0.756 0.756 0.756
4 O 0.409 0.409 0.409
5 O 0.591 0.591 0.591

Properties
Calculated total energy (eV for the cell shown): -23.7
DOS(E_F) (states/eV per atom): 0.12


MnH2O2: optimized geometry, PBE with a Hubbard U.

Cell lengths 5.698, 5.698, 2.489 Å; angles 90.00, 90.00, 90.00 degrees
Fractional positions:
1 Mn 0.000 0.000 0.000
2 Mn 0.500 0.500 0.000
3 H 0.155 0.345 0.500
4 H 0.345 0.845 0.500
5 H 0.655 0.155 0.500
6 H 0.845 0.655 0.500
7 O 0.188 0.312 0.000
8 O 0.312 0.812 0.000
9 O 0.688 0.188 0.000
10 O 0.812 0.688 0.000

Properties
Calculated total energy (eV for the cell shown): -55.3
DOS(E_F) (states/eV per atom): 0.12


Mn12HO24: optimized geometry, PBE with a Hubbard U.

Cell lengths 9.307, 5.907, 16.156 Å; angles 90.00, 121.74, 90.00 degrees
Fractional positions:
1 Mn 0.000 0.120 0.500
2 Mn 0.000 0.880 0.000
3 Mn 0.001 0.370 0.000
4 Mn 0.001 0.630 0.500
5 Mn 0.281 0.125 0.813
6 Mn 0.281 0.875 0.313
7 Mn 0.286 0.375 0.312
8 Mn 0.286 0.625 0.812
9 Mn 0.392 0.124 0.156
10 Mn 0.392 0.373 0.657
11 Mn 0.392 0.627 0.157
12 Mn 0.392 0.876 0.656
13 Mn 0.498 0.375 0.998
14 Mn 0.498 0.625 0.498
15 Mn 0.499 0.125 0.498
16 Mn 0.499 0.875 0.998
17 Mn 0.777 0.375 0.310
18 Mn 0.777 0.625 0.810
19 Mn 0.784 0.125 0.814
20 Mn 0.784 0.875 0.314
21 Mn 0.889 0.125 0.156
22 Mn 0.889 0.875 0.656
23 Mn 0.890 0.375 0.655
24 Mn 0.890 0.625 0.155
25 H 0.113 0.372 0.409
26 H 0.113 0.628 0.909
27 O 0.016 0.125 0.925
28 O 0.016 0.875 0.425
29 O 0.021 0.374 0.422
30 O 0.021 0.626 0.922
31 O 0.039 0.126 0.725
32 O 0.039 0.874 0.225
33 O 0.040 0.375 0.226
34 O 0.040 0.625 0.726
35 O 0.243 0.124 0.586
36 O 0.243 0.374 0.087
37 O 0.243 0.626 0.587
38 O 0.243 0.876 0.086
39 O 0.265 0.130 0.387
40 O 0.265 0.870 0.887
41 O 0.266 0.380 0.887
42 O 0.266 0.620 0.387
43 O 0.315 0.123 0.248
44 O 0.315 0.373 0.748
45 O 0.315 0.627 0.248
46 O 0.315 0.877 0.748
47 O 0.461 0.375 0.561
48 O 0.461 0.625 0.061
49 O 0.467 0.125 0.063
50 O 0.467 0.875 0.563
51 O 0.512 0.125 0.923
52 O 0.512 0.875 0.423
53 O 0.516 0.375 0.424
54 O 0.516 0.625 0.924
55 O 0.540 0.375 0.227
56 O 0.540 0.625 0.727
57 O 0.541 0.125 0.726
58 O 0.541 0.875 0.226
59 O 0.741 0.126 0.585
60 O 0.741 0.375 0.086
61 O 0.741 0.625 0.586
62 O 0.741 0.874 0.085
63 O 0.769 0.127 0.388
64 O 0.769 0.873 0.888
65 O 0.770 0.377 0.888
66 O 0.770 0.623 0.388
67 O 0.815 0.125 0.249
68 O 0.815 0.875 0.749
69 O 0.816 0.376 0.749
70 O 0.816 0.624 0.249
71 O 0.965 0.125 0.063
72 O 0.965 0.875 0.563
73 O 0.966 0.375 0.562
74 O 0.966 0.625 0.062

Properties
Calculated total energy (eV for the cell shown): -521.6
DOS(E_F) (states/eV per atom): 0.10


Mn6HO12: optimized geometry, PBE with a Hubbard U.

Cell lengths 5.537, 5.537, 13.858 Å; angles 92.42, 92.42, 64.69 degrees
Fractional positions:
1 Mn 0.097 0.847 0.187
2 Mn 0.109 0.362 0.345
3 Mn 0.120 0.880 0.500
4 Mn 0.340 0.590 0.690
5 Mn 0.362 0.109 0.845
6 Mn 0.369 0.630 0.000
7 Mn 0.590 0.340 0.190
8 Mn 0.609 0.856 0.343
9 Mn 0.630 0.369 0.500
10 Mn 0.847 0.097 0.687
11 Mn 0.856 0.609 0.843
12 Mn 0.880 0.120 0.000
13 H 0.580 0.822 0.591
14 H 0.822 0.580 0.091
15 O 0.002 0.758 0.612
16 O 0.024 0.774 0.940
17 O 0.031 0.278 0.913
18 O 0.188 0.436 0.773
19 O 0.195 0.940 0.751
20 O 0.216 0.965 0.074
21 O 0.252 0.507 0.113
22 O 0.278 0.031 0.413
23 O 0.278 0.528 0.439
24 O 0.436 0.188 0.273
25 O 0.441 0.687 0.250
26 O 0.472 0.721 0.578
27 O 0.507 0.252 0.613
28 O 0.527 0.781 0.914
29 O 0.528 0.278 0.939
30 O 0.687 0.441 0.750
31 O 0.690 0.940 0.774
32 O 0.721 0.472 0.078
33 O 0.758 0.002 0.112
34 O 0.774 0.024 0.440
35 O 0.781 0.527 0.414
36 O 0.940 0.195 0.251
37 O 0.940 0.690 0.274
38 O 0.965 0.216 0.574

Properties
Calculated total energy (eV for the cell shown): -265.8
DOS(E_F) (states/eV per atom): 0.10


MnHO: optimized geometry, PBE with a Hubbard U.

Cell lengths 4.998, 4.998, 4.998 Å; angles 145.04, 145.04, 50.27 degrees
Fractional positions:
1 Mn 0.000 0.000 0.000
2 H 0.302 0.302 0.000
3 O 0.413 0.413 0.000

Properties
Calculated total energy (eV for the cell shown): -17.7
DOS(E_F) (states/eV per atom): 0.21


MnP2H8O10: optimized geometry, PBE with a Hubbard U.

Cell lengths 5.415, 10.306, 8.756 Å; angles 90.00, 123.98, 90.00 degrees
Fractional positions:
1 Mn 0.000 0.000 0.000
2 Mn 0.000 0.500 0.500
3 P 0.091 0.217 0.337
4 P 0.091 0.283 0.837
5 P 0.909 0.717 0.163
6 P 0.909 0.783 0.663
7 H 0.120 0.726 0.011
8 H 0.120 0.774 0.511
9 H 0.386 0.076 0.823
10 H 0.386 0.424 0.323
11 H 0.397 0.548 0.223
12 H 0.397 0.952 0.723
13 H 0.432 0.107 0.593
14 H 0.432 0.393 0.093
15 H 0.568 0.607 0.907
16 H 0.568 0.893 0.407
17 H 0.603 0.048 0.277
18 H 0.603 0.452 0.777
19 H 0.614 0.576 0.677
20 H 0.614 0.924 0.177
21 H 0.880 0.226 0.489
22 H 0.880 0.274 0.989
23 O 0.021 0.671 0.357
24 O 0.021 0.829 0.857
25 O 0.138 0.136 0.864
26 O 0.138 0.364 0.364
27 O 0.146 0.674 0.119
28 O 0.146 0.826 0.619
29 O 0.390 0.141 0.472
30 O 0.390 0.359 0.972
31 O 0.494 0.534 0.719
32 O 0.494 0.966 0.219
33 O 0.506 0.034 0.781
34 O 0.506 0.466 0.281
35 O 0.610 0.641 0.028
36 O 0.610 0.859 0.528
37 O 0.854 0.174 0.381
38 O 0.854 0.326 0.881
39 O 0.862 0.636 0.636
40 O 0.862 0.864 0.136
41 O 0.979 0.171 0.143
42 O 0.979 0.329 0.643

Properties
Calculated total energy (eV for the cell shown): -254.1
DOS(E_F) (states/eV per atom): 0.00


Mn6P4H2O17: optimized geometry, PBE with a Hubbard U.

Cell lengths 10.018, 10.018, 8.265 Å; angles 91.24, 91.24, 123.77 degrees
Fractional positions:
1 Mn 0.017 0.271 0.376
2 Mn 0.041 0.447 0.912
3 Mn 0.084 0.916 0.500
4 Mn 0.271 0.017 0.876
5 Mn 0.385 0.557 0.464
6 Mn 0.447 0.041 0.412
7 Mn 0.518 0.892 0.066
8 Mn 0.557 0.385 0.964
9 Mn 0.672 0.911 0.641
10 Mn 0.892 0.518 0.566
11 Mn 0.911 0.672 0.141
12 Mn 0.916 0.084 0.000
13 P 0.175 0.666 0.264
14 P 0.217 0.281 0.730
15 P 0.281 0.217 0.230
16 P 0.287 0.767 0.711
17 P 0.666 0.175 0.764
18 P 0.767 0.287 0.211
19 P 0.773 0.875 0.331
20 P 0.875 0.773 0.831
21 H 0.401 0.553 0.113
22 H 0.415 0.561 0.924
23 H 0.553 0.401 0.613
24 H 0.561 0.415 0.424
25 O 0.026 0.859 0.950
26 O 0.060 0.690 0.369
27 O 0.094 0.621 0.092
28 O 0.099 0.275 0.855
29 O 0.110 0.181 0.202
30 O 0.122 0.605 0.712
31 O 0.181 0.110 0.702
32 O 0.192 0.531 0.327
33 O 0.193 0.343 0.568
34 O 0.275 0.099 0.355
35 O 0.276 0.892 0.610
36 O 0.340 0.846 0.885
37 O 0.343 0.193 0.068
38 O 0.345 0.823 0.263
39 O 0.396 0.403 0.790
40 O 0.403 0.396 0.290
41 O 0.410 0.618 0.022
42 O 0.414 0.737 0.647
43 O 0.531 0.192 0.827
44 O 0.605 0.122 0.212
45 O 0.617 0.751 0.417
46 O 0.618 0.410 0.522
47 O 0.621 0.094 0.592
48 O 0.690 0.060 0.869
49 O 0.734 0.913 0.162
50 O 0.737 0.414 0.147
51 O 0.751 0.617 0.917
52 O 0.815 0.885 0.812
53 O 0.823 0.345 0.763
54 O 0.846 0.340 0.385
55 O 0.859 0.026 0.450
56 O 0.885 0.815 0.312
57 O 0.892 0.276 0.110
58 O 0.913 0.734 0.662

Properties
Calculated total energy (eV for the cell shown): -431.2
DOS(E_F) (states/eV per atom): 0.00


MnP2H2O8: optimized geometry, PBE with a Hubbard U.

Cell lengths 7.827, 15.533, 5.138 Å; angles 90.00, 100.10, 90.00 degrees
Fractional positions:
1 Mn 0.206 0.001 0.190
2 Mn 0.206 0.499 0.690
3 Mn 0.794 0.501 0.310
4 Mn 0.794 0.999 0.810
5 P 0.161 0.119 0.679
6 P 0.161 0.381 0.179
7 P 0.371 0.606 0.262
8 P 0.371 0.894 0.762
9 P 0.629 0.106 0.238
10 P 0.629 0.394 0.738
11 P 0.839 0.619 0.821
12 P 0.839 0.881 0.321
13 H 0.051 0.243 0.539
14 H 0.051 0.257 0.039
15 H 0.376 0.743 0.366
16 H 0.376 0.757 0.866
17 H 0.624 0.243 0.134
18 H 0.624 0.257 0.634
19 H 0.949 0.743 0.961
20 H 0.949 0.757 0.461
21 O 0.060 0.207 0.701
22 O 0.060 0.293 0.201
23 O 0.082 0.057 0.864
24 O 0.082 0.443 0.364
25 O 0.117 0.094 0.384
26 O 0.117 0.406 0.884
27 O 0.273 0.595 0.493
28 O 0.273 0.905 0.993
29 O 0.283 0.563 0.010
30 O 0.283 0.937 0.510
31 O 0.359 0.128 0.763
32 O 0.359 0.372 0.263
33 O 0.366 0.707 0.204
34 O 0.366 0.793 0.704
35 O 0.438 0.075 0.176
36 O 0.438 0.425 0.676
37 O 0.562 0.575 0.324
38 O 0.562 0.925 0.824
39 O 0.634 0.207 0.296
40 O 0.634 0.293 0.796
41 O 0.641 0.628 0.737
42 O 0.641 0.872 0.237
43 O 0.717 0.063 0.490
44 O 0.717 0.437 0.990
45 O 0.727 0.095 0.007
46 O 0.727 0.405 0.507
47 O 0.883 0.594 0.116
48 O 0.883 0.906 0.616
49 O 0.918 0.557 0.636
50 O 0.918 0.943 0.136
51 O 0.940 0.707 0.799
52 O 0.940 0.793 0.299

Properties
Calculated total energy (eV for the cell shown): -343.9


Mn7P6H4O24: optimized geometry, PBE with a Hubbard U.

Cell lengths 6.641, 8.160, 9.952 Å; angles 104.45, 109.23, 101.51 degrees
Fractional positions:
1 Mn 0.000 0.000 0.000
2 Mn 0.036 0.716 0.512
3 Mn 0.284 0.817 0.286
4 Mn 0.381 0.456 0.106
5 Mn 0.619 0.544 0.894
6 Mn 0.716 0.183 0.714
7 Mn 0.964 0.284 0.488
8 P 0.084 0.581 0.823
9 P 0.227 0.142 0.781
10 P 0.410 0.231 0.384
11 P 0.590 0.769 0.616
12 P 0.773 0.858 0.219
13 P 0.916 0.419 0.177
14 H 0.176 0.874 0.809
15 H 0.418 0.494 0.597
16 H 0.582 0.506 0.403
17 H 0.824 0.126 0.191
18 O 0.023 0.167 0.667
19 O 0.052 0.544 0.655
20 O 0.108 0.781 0.896
21 O 0.124 0.537 0.169
22 O 0.206 0.936 0.731
23 O 0.219 0.186 0.940
24 O 0.270 0.064 0.243
25 O 0.287 0.304 0.479
26 O 0.298 0.539 0.908
27 O 0.381 0.801 0.512
28 O 0.449 0.241 0.779
29 O 0.492 0.383 0.320
30 O 0.508 0.617 0.680
31 O 0.551 0.759 0.221
32 O 0.619 0.199 0.488
33 O 0.702 0.461 0.092
34 O 0.713 0.696 0.521
35 O 0.730 0.936 0.757
36 O 0.781 0.814 0.060
37 O 0.794 0.064 0.269
38 O 0.876 0.463 0.831
39 O 0.892 0.219 0.104
40 O 0.948 0.456 0.345
41 O 0.977 0.833 0.333

Properties
Calculated total energy (eV for the cell shown): -298.4
DOS(E_F) (states/eV per atom): 0.00